Run 1
VASP calculation (PBE-GGA) on crystalline CaB at its relaxed geometry.

D(E_F) (states/eV/f.u.): 1.11

```
data_CaB
_cell_length_a 3.2036
_cell_length_b 4.0370
_cell_length_c 7.1960
_cell_angle_alpha 99.81
_cell_angle_beta 97.67
_cell_angle_gamma 113.00
_symmetry_space_group_name_H-M 'P -1'
_symmetry_Int_Tables_number 2
loop_
_symmetry_equiv_pos_as_xyz
'x,y,z'
'-x,-y,-z'
loop_
_atom_site_label
_atom_site_fract_x
_atom_site_fract_y
_atom_site_fract_z
_atom_site_occupancy
Ca1 0.2055 0.1188 0.2528 1
B1 0.2687 0.5379 0.9995 1
```

Run 2
VASP calculation (PBE-GGA) on crystalline CaB at its relaxed geometry.

D(E_F) (states/eV/f.u.): 3.52

```
data_CaB
_cell_length_a 6.0574
_cell_length_b 6.0574
_cell_length_c 6.0574
_cell_angle_alpha 90.00
_cell_angle_beta 90.00
_cell_angle_gamma 90.00
_symmetry_space_group_name_H-M 'F -4 3 m'
_symmetry_Int_Tables_number 216
_symmetry_space_group_name_Hall 'F -4 2 3'
loop_
_atom_site_label
_atom_site_fract_x
_atom_site_fract_y
_atom_site_fract_z
_atom_site_occupancy
Ca1 0.0000 0.0000 0.0000 1
B1 0.2500 0.2500 0.2500 1
```

Run 3
VASP calculation (PBE-GGA) on crystalline CaB at its relaxed geometry.

D(E_F) (states/eV/f.u.): 2.00

```
data_CaB
_cell_length_a 4.6778
_cell_length_b 4.6778
_cell_length_c 5.5181
_cell_angle_alpha 90.00
_cell_angle_beta 90.00
_cell_angle_gamma 120.00
_symmetry_space_group_name_H-M 'P 63/m m c'
_symmetry_Int_Tables_number 194
_symmetry_space_group_name_Hall '-P 6c 2c'
loop_
_atom_site_label
_atom_site_fract_x
_atom_site_fract_y
_atom_site_fract_z
_atom_site_occupancy
Ca1 0.3333 0.6667 0.2500 1
B1 0.3333 0.6667 0.7500 1
```

Here are the energies relative to the best structure, in meV per atom: run 1 0; run 2 1615; run 3 1366.

Run 1
VASP calculation (PBE-GGA) on crystalline CaB at its relaxed geometry.

D(E_F) (states/eV/f.u.): 0.71

```
data_CaB
_cell_length_a 3.2723
_cell_length_b 17.2870
_cell_length_c 4.1522
_cell_angle_alpha 90.00
_cell_angle_beta 90.00
_cell_angle_gamma 90.00
_symmetry_space_group_name_H-M 'C m m m'
_symmetry_Int_Tables_number 65
_symmetry_space_group_name_Hall '-C 2 2'
loop_
_atom_site_label
_atom_site_fract_x
_atom_site_fract_y
_atom_site_fract_z
_atom_site_occupancy
Ca1 0.0000 0.0000 0.0000 1
Ca2 0.0000 0.3433 0.5000 1
B1 0.0000 0.2416 0.0000 1
B2 0.0000 0.5000 0.5000 1
```

Run 2
VASP calculation (PBE-GGA) on crystalline CaB at its relaxed geometry.

D(E_F) (states/eV/f.u.): 1.56

```
data_CaB
_cell_length_a 5.5469
_cell_length_b 5.5469
_cell_length_c 5.5469
_cell_angle_alpha 90.00
_cell_angle_beta 90.00
_cell_angle_gamma 90.00
_symmetry_space_group_name_H-M 'F m -3 m'
_symmetry_Int_Tables_number 225
_symmetry_space_group_name_Hall '-F 4 2 3'
loop_
_atom_site_label
_atom_site_fract_x
_atom_site_fract_y
_atom_site_fract_z
_atom_site_occupancy
Ca1 0.0000 0.0000 0.0000 1
B1 0.0000 0.0000 0.5000 1
```

Here are the energies relative to the best structure, in meV per atom: run 1 0; run 2 854.

Run 1
VASP calculation (PBE-GGA) on crystalline CaB at its relaxed geometry.

D(E_F) (states/eV/f.u.): 0.99

```
data_CaB
_cell_length_a 3.2089
_cell_length_b 7.0605
_cell_length_c 7.1405
_cell_angle_alpha 90.00
_cell_angle_beta 90.00
_cell_angle_gamma 90.00
_symmetry_space_group_name_H-M 'I m m a'
_symmetry_Int_Tables_number 74
_symmetry_space_group_name_Hall '-I 2b 2'
loop_
_atom_site_label
_atom_site_fract_x
_atom_site_fract_y
_atom_site_fract_z
_atom_site_occupancy
Ca1 0.0000 0.0000 0.0000 1
B1 0.0000 0.2500 0.2807 1
```

Run 2
VASP calculation (PBE-GGA) on crystalline CaB at its relaxed geometry.

D(E_F) (states/eV/f.u.): 0.62

```
data_CaB
_cell_length_a 10.0759
_cell_length_b 3.8548
_cell_length_c 3.9688
_cell_angle_alpha 90.00
_cell_angle_beta 96.58
_cell_angle_gamma 90.00
_symmetry_space_group_name_H-M 'C 1 2/m 1'
_symmetry_Int_Tables_number 12
loop_
_symmetry_equiv_pos_as_xyz
'x,y,z'
'-x,-y,-z'
'-x,y,-z'
'x,-y,z'
'x+1/2,y+1/2,z'
'-x+1/2,-y+1/2,-z'
'-x+1/2,y+1/2,-z'
'x+1/2,-y+1/2,z'
loop_
_atom_site_label
_atom_site_fract_x
_atom_site_fract_y
_atom_site_fract_z
_atom_site_occupancy
Ca1 0.1373 0.0000 0.2202 1
B1 0.0627 0.5000 0.6343 1
```

Run 3
VASP calculation (PBE-GGA) on crystalline CaB at its relaxed geometry.

D(E_F) (states/eV/f.u.): 2.94

```
data_CaB
_cell_length_a 7.4978
_cell_length_b 7.4978
_cell_length_c 7.4978
_cell_angle_alpha 90.00
_cell_angle_beta 90.00
_cell_angle_gamma 90.00
_symmetry_space_group_name_H-M 'P m -3 n'
_symmetry_Int_Tables_number 223
_symmetry_space_group_name_Hall '-P 4n 2 3'
loop_
_atom_site_label
_atom_site_fract_x
_atom_site_fract_y
_atom_site_fract_z
_atom_site_occupancy
Ca1 0.0000 0.2500 0.5000 1
B1 0.0000 0.5000 0.2500 1
```

Run 4
VASP calculation (PBE-GGA) on crystalline CaB at its relaxed geometry.

D(E_F) (states/eV/f.u.): 1.30

```
data_CaB
_cell_length_a 10.0641
_cell_length_b 10.0641
_cell_length_c 3.2089
_cell_angle_alpha 90.00
_cell_angle_beta 90.00
_cell_angle_gamma 90.00
_symmetry_space_group_name_H-M 'I 4/m m m'
_symmetry_Int_Tables_number 139
_symmetry_space_group_name_Hall '-I 4 2'
loop_
_atom_site_label
_atom_site_fract_x
_atom_site_fract_y
_atom_site_fract_z
_atom_site_occupancy
Ca1 0.0000 0.2466 0.0000 1
B1 0.2356 0.2356 0.5000 1
```

Here are the energies relative to the best structure, in meV per atom: run 1 0; run 2 313; run 3 1680; run 4 13.